VASP calculation (PBE) on a relaxed structure of CeErSn6.

Computed properties:
D(E_F): 7.470 states/eV/cell
crystal system: tetragonal
formation enthalpy at 0 K: -0.46 eV/atom

a = 4.7209 Å, b = 4.7209 Å, c = 9.3758 Å
α = 90.00°, β = 90.00°, γ = 90.00°
With the nearest neighbours (Å) after each atom.
Fractional coordinates of all 8 atoms:
Ce: 0.0000 0.0000 0.0000  12 Sn 3.34-3.35
Er: 0.0000 0.0000 0.5000  12 Sn 3.31-3.34
Sn: 0.0000 0.5000 0.2528  8 Sn 3.31-3.35, 2 Er 3.31, 2 Ce 3.35
Sn: 0.0000 0.5000 0.7472  8 Sn 3.31-3.35, 2 Er 3.31, 2 Ce 3.35
Sn: 0.5000 0.0000 0.2528  8 Sn 3.31-3.35, 2 Er 3.31, 2 Ce 3.35
Sn: 0.5000 0.0000 0.7472  8 Sn 3.31-3.35, 2 Er 3.31, 2 Ce 3.35
Sn: 0.5000 0.5000 0.0000  4 Ce 3.34, 8 Sn 3.35
Sn: 0.5000 0.5000 0.5000  8 Sn 3.31, 4 Er 3.34